1.
Material: Sc2AgP
Method: DFT, meta-GGA SCAN
State: PBEsol geometry

## Properties
The total energy comes out at -18.394 eV/atom. The calculation puts the energy relative to the lowest polymorph listed for this composition at 0.000 eV/atom. As for the energy of formation: -0.8343 eV per atom.

Structure (CIF):
```
data_Sc2AgP
_chemical_formula_sum 'Sc2 Ag1 P1'
_cell_length_a 3.7886
_cell_length_b 3.7886
_cell_length_c 6.3609
_cell_angle_alpha 90.00
_cell_angle_beta 90.00
_cell_angle_gamma 120.00
_space_group_name_H-M_alt 'P -3 m 1'
_space_group_IT_number 164
_space_group_name_Hall '-P 3 2"'
loop_
_atom_site_label
_atom_site_type_symbol
_atom_site_fract_x
_atom_site_fract_y
_atom_site_fract_z
Sc1 Sc 0.3333 0.6667 0.2123
Ag1 Ag 0.0000 0.0000 0.5000
P1 P 0.0000 0.0000 0.0000
```

---

2.
Material: CsP2Ru
Method: DFT, meta-GGA SCAN
State: PBEsol geometry

## Properties
The total energy comes out at -22.163 eV/atom. As for the energy of formation: 1.1958 eV per atom.

Structure (CIF):
```
data_CsP2Ru
_chemical_formula_sum 'Cs4 P8 Ru4'
_cell_length_a 6.651
_cell_length_b 6.651
_cell_length_c 6.651
_cell_angle_alpha 90.00
_cell_angle_beta 90.00
_cell_angle_gamma 90.00
_space_group_name_H-M_alt 'F m -3 m'
_space_group_IT_number 225
_space_group_name_Hall '-F 4 2 3'
loop_
_atom_site_label
_atom_site_type_symbol
_atom_site_fract_x
_atom_site_fract_y
_atom_site_fract_z
Cs1 Cs 0.000 0.000 0.000
P1 P 0.250 0.250 0.250
Ru1 Ru 0.000 0.000 0.500
```

---

3.
Material: HfBeSb2As
Method: DFT, meta-GGA SCAN
State: PBEsol geometry

## Properties
The total energy comes out at -31.555 eV/atom. As for the uncorrected formation energy: 4.0 eV per formula unit.

Structure (CIF):
```
data_HfBeSb2As
_chemical_formula_sum 'Hf1 Be1 Sb2 As1'
_cell_length_a 5.424
_cell_length_b 5.424
_cell_length_c 5.000
_cell_angle_alpha 90.00
_cell_angle_beta 90.00
_cell_angle_gamma 90.00
_space_group_name_H-M_alt 'P 4/m m m'
_space_group_IT_number 123
_space_group_name_Hall '-P 4 2'
loop_
_atom_site_label
_atom_site_type_symbol
_atom_site_fract_x
_atom_site_fract_y
_atom_site_fract_z
Hf1 Hf 0.000 0.000 0.000
Be1 Be 0.500 0.500 0.500
Sb1 Sb 0.000 0.500 0.000
As1 As 0.000 0.000 0.500
```

---

Number 1: calculated volume 19.77 Å³/atom. Number 2: calculated volume 18.39 Å³/atom. Number 3: calculated volume 29.42 Å³/atom.